TmSn2Sb | PBE | optimized geometry

- E above lowest polymorph (eV per atom) = 0.5387
- total DFT energy (no corrections) (eV/f.u.) = -15.86
- N(E_F) (states/eV/atom) = 0.71

Lattice parameters (Å, degrees): 3.3798 3.3798 11.9570 81.88 81.88 60.00
Element x y z (fractional)
Tm1 0.0000 0.0000 0.0000
Sn1 0.9124 0.9124 0.2627
Sb1 0.5000 0.5000 0.5000
Sn2 0.0876 0.0876 0.7373